The following is a GGA-PBEsol calculation of a relaxed structure of Sr2MnRh, from Alexandria.

a = 3.7330 Å, b = 5.0544 Å, c = 10.9634 Å
α = 90.00°, β = 90.00°, γ = 90.00°
Space group Imm2 (No. 44)
Inequivalent atoms, fractional coordinates:
Sr: 0.0000 0.0000 0.0000 [2 per cell]
Sr: 0.0000 0.5000 0.2108 [2 per cell]
Mn: 0.0000 0.5000 0.8053 [2 per cell]
Rh: 0.0000 0.0000 0.4458 [2 per cell]

Output
energy above the most stable polymorph in this dataset: 81 meV per atom
V: 25.86 Å³/atom
Fermi-level density of states: 0.85 states/eV/atom
energy of formation: 232.3 meV per atom